12
Lattice="2.473 1.428 8.117 -2.473 1.428 8.117 0.000 -2.855 8.117" Properties=species:S:1:pos:R:3 comment="TbDy2Ni9 | OQMD via LeMat-Bulk | GGA-PBE | optimized geometry" sg=R-3m energy_ev_per_atom=-5.744 magmom_total_mub_per_cell=0.7 ef_ev_per_atom=-0.416 mass_density_g_cm3=9.8 pbc="T T T"
Tb 0.000 0.000 0.000
Dy 0.000 0.000 3.388
Dy 0.000 0.000 20.963
Ni -1.241 -0.716 10.119
Ni 0.000 0.000 8.110
Ni 0.000 -1.433 14.232
Ni -1.241 0.716 14.232
Ni 0.000 0.000 12.175
Ni 1.241 -0.716 10.119
Ni 0.000 1.433 10.119
Ni 0.000 0.000 16.240
Ni 1.241 0.716 14.232



12
Lattice="6.090 0.000 0.000 0.000 2.959 0.000 0.000 0.000 10.050" Properties=species:S:1:pos:R:3 comment="ZrFe2 | OQMD via LeMat-Bulk | GGA-PBE | optimized geometry" sg=Pnma energy_ev_per_atom=-8.277 magmom_total_mub_per_cell=13.6 ef_ev_per_atom=0.111 mass_density_g_cm3=7.4 pbc="T T T"
Zr 1.365 0.740 2.017
Zr 1.680 2.220 7.042
Zr 4.410 0.740 3.008
Zr 4.725 2.220 8.034
Fe 0.345 2.220 4.163
Fe 0.899 2.220 9.677
Fe 2.146 0.740 4.652
Fe 2.700 0.740 9.188
Fe 3.390 2.220 0.862
Fe 3.943 2.220 5.399
Fe 5.191 0.740 0.373
Fe 5.745 0.740 5.888



4
Lattice="0.000 3.219 3.219 3.219 0.000 3.219 3.219 3.219 0.000" Properties=species:S:1:pos:R:3 comment="TlZnCuMo | OQMD via LeMat-Bulk | GGA-PBE | optimized geometry" sg=F-43m energy_ev_per_atom=-3.908 magmom_total_mub_per_cell=2.0 mass_density_g_cm3=10.7 pbc="T T T"
Tl 0.000 0.000 0.000
Zn 4.829 4.829 4.829
Cu 1.610 1.610 1.610
Mo 3.219 3.219 3.219



125
Lattice="0.000 9.704 9.704 9.704 0.000 9.704 9.704 9.704 0.000" Properties=species:S:1:pos:R:3 comment="BiIr124 | OQMD via LeMat-Bulk | GGA-PBE | optimized geometry" sg=Fm-3m energy_ev_per_atom=-8.802 magmom_total_mub_per_cell=0.0 mass_density_g_cm3=21.8 pbc="T T T"
Bi 0.000 0.000 0.000
Ir 1.996 1.996 0.000
Ir 3.904 3.904 0.000
Ir 5.800 5.800 0.000
Ir 7.708 7.708 0.000
Ir 3.888 11.648 11.648
Ir 5.824 3.880 1.945
Ir 7.760 15.520 11.648
Ir 1.996 0.000 1.996
Ir 9.704 7.708 1.996
Ir 5.824 1.945 3.880
Ir 7.759 3.880 3.880
Ir 11.648 7.760 3.888
Ir 3.904 0.000 3.904
Ir 9.704 5.800 3.904
Ir 5.800 0.000 5.800
Ir 9.704 3.904 5.800
Ir 7.760 11.648 15.520
Ir 11.648 5.824 5.824
Ir 13.583 7.759 5.824
Ir 7.708 0.000 7.708
Ir 9.704 1.996 7.708
Ir 11.648 3.888 7.760
Ir 13.583 5.824 7.759
Ir 15.520 7.760 7.760
Ir 11.648 3.888 11.648
Ir 3.880 5.824 1.945
Ir 15.520 7.760 11.648
Ir 11.648 11.648 3.888
Ir 3.883 3.883 3.883
Ir 5.821 5.821 3.883
Ir 7.760 7.760 3.888
Ir 9.704 9.704 3.879
Ir 3.880 1.945 5.824
Ir 5.821 3.883 5.821
Ir 7.759 5.824 5.824
Ir 9.704 7.765 5.824
Ir 11.643 9.704 5.824
Ir 15.520 11.648 7.760
Ir 7.760 3.888 7.760
Ir 9.704 5.824 7.765
Ir 11.645 7.763 7.763
Ir 13.584 9.704 7.765
Ir 9.704 3.879 9.704
Ir 11.643 5.824 9.704
Ir 13.584 7.765 9.704
Ir 15.528 9.704 9.704
Ir 0.000 1.996 1.996
Ir 7.708 9.704 1.996
Ir 7.708 1.996 9.704
Ir 1.945 5.824 3.880
Ir 3.880 7.759 3.880
Ir 1.945 3.880 5.824
Ir 3.883 5.821 5.821
Ir 5.824 7.759 5.824
Ir 7.765 9.704 5.824
Ir 9.704 11.643 5.824
Ir 3.880 3.880 7.759
Ir 5.824 5.824 7.759
Ir 7.763 7.763 7.763
Ir 9.704 9.704 7.765
Ir 11.645 11.645 7.763
Ir 7.765 5.824 9.704
Ir 9.704 7.765 9.704
Ir 11.643 9.704 9.704
Ir 13.584 11.643 9.704
Ir 9.704 5.824 11.643
Ir 11.645 7.763 11.645
Ir 13.584 9.704 11.643
Ir 7.760 11.648 3.888
Ir 7.760 3.888 11.648
Ir 15.520 11.648 11.648
Ir 0.000 3.904 3.904
Ir 5.800 9.704 3.904
Ir 5.800 3.904 9.704
Ir 0.000 5.800 5.800
Ir 3.904 9.704 5.800
Ir 3.904 5.800 9.704
Ir 11.648 7.760 15.520
Ir 11.648 15.520 7.760
Ir 3.888 7.760 7.760
Ir 5.824 11.648 5.824
Ir 7.759 13.583 5.824
Ir 5.824 9.704 7.765
Ir 7.763 11.645 7.763
Ir 9.704 13.584 7.765
Ir 5.824 7.765 9.704
Ir 7.765 9.704 9.704
Ir 9.704 11.643 9.704
Ir 11.643 13.584 9.704
Ir 5.824 5.824 11.648
Ir 7.763 7.763 11.645
Ir 9.704 9.704 11.643
Ir 11.645 11.645 11.645
Ir 13.583 13.583 11.648
Ir 7.759 5.824 13.583
Ir 9.704 7.765 13.584
Ir 11.643 9.704 13.584
Ir 13.583 11.648 13.583
Ir 15.525 13.587 13.587
Ir 0.000 7.708 7.708
Ir 1.996 9.704 7.708
Ir 1.996 7.708 9.704
Ir 3.888 11.648 7.760
Ir 5.824 13.583 7.759
Ir 7.760 15.520 7.760
Ir 3.879 9.704 9.704
Ir 5.824 11.643 9.704
Ir 7.765 13.584 9.704
Ir 9.704 15.528 9.704
Ir 5.824 9.704 11.643
Ir 7.763 11.645 11.645
Ir 9.704 13.584 11.643
Ir 3.888 7.760 11.648
Ir 11.648 15.520 11.648
Ir 5.824 7.759 13.583
Ir 7.765 9.704 13.584
Ir 9.704 11.643 13.584
Ir 11.648 13.583 13.583
Ir 13.587 15.525 13.587
Ir 7.760 7.760 15.520
Ir 9.704 9.704 15.528
Ir 11.648 11.648 15.520
Ir 13.587 13.587 15.525
Ir 15.525 15.525 15.525



6
Lattice="5.159 0.000 0.000 -2.579 4.468 0.000 0.000 0.000 6.590" Properties=species:S:1:pos:R:3 comment="GdDy2ErGa2 | OQMD via LeMat-Bulk | GGA-PBE | optimized geometry" sg=P-6m2 energy_ev_per_atom=-4.469 magmom_total_mub_per_cell=0.1 mass_density_g_cm3=8.6 pbc="T T T"
Gd 0.000 0.000 0.000
Dy 2.579 1.489 1.663
Dy 2.579 1.489 4.927
Er 0.000 2.979 3.295
Ga 0.000 0.000 3.295
Ga 0.000 2.979 0.000



8
Lattice="5.849 0.000 0.000 0.000 5.155 0.000 0.000 0.000 4.904" Properties=species:S:1:pos:R:3 comment="MgAg | OQMD via LeMat-Bulk | GGA-PBE | optimized geometry" sg=Pbcm energy_ev_per_atom=-2.347 mass_density_g_cm3=5.9 pbc="T T T"
Mg 0.874 0.343 1.226
Mg 0.874 2.235 3.678
Mg 4.974 2.921 1.226
Mg 4.974 4.812 3.678
Ag 2.114 2.953 1.226
Ag 2.114 4.780 3.678
Ag 3.734 0.376 1.226
Ag 3.734 2.202 3.678